a) # Nd2Er4Tm

Nd2Er4Tm after structural relaxation (PBE-GGA, Alexandria).

Structure (POSCAR):
```
Nd2Er4Tm
1.0
-4.678 -1.720 7.335
0.705 -8.359 -2.875
5.578 6.058 3.286
Nd Er Tm
4 8 2
Direct
0.597 0.490 0.893 Nd
0.654 0.046 0.393 Nd
0.625 0.382 0.257 Nd
0.125 0.383 0.757 Nd
0.876 0.052 0.176 Er
0.372 0.604 0.232 Er
0.878 0.611 0.732 Er
0.780 0.052 0.775 Er
0.276 0.052 0.272 Er
0.373 0.050 0.676 Er
0.470 0.745 0.772 Er
0.974 0.745 0.276 Er
0.100 0.495 0.395 Tm
0.150 0.044 0.895 Tm
```

Output
density of states at the Fermi level: 17.37 states/eV per cell
density: 8.28 Mg/m³



b) # Nd2Er4Tm

Nd2Er4Tm after structural relaxation (PBE-GGA, Alexandria).

Structure (POSCAR):
```
Nd2Er4Tm
1.0
-2.170 2.680 -1.384
-8.785 -2.646 8.653
8.119 12.860 12.175
Nd Er Tm
8 16 4
Direct
0.000 0.890 0.831 Nd
0.500 0.610 0.169 Nd
0.000 0.390 0.669 Nd
0.500 0.110 0.331 Nd
0.000 0.110 0.169 Nd
0.500 0.390 0.831 Nd
0.000 0.610 0.331 Nd
0.500 0.890 0.669 Nd
0.000 0.731 0.565 Er
0.500 0.769 0.435 Er
0.000 0.231 0.935 Er
0.500 0.269 0.065 Er
0.000 0.269 0.435 Er
0.500 0.231 0.565 Er
0.000 0.769 0.065 Er
0.500 0.731 0.935 Er
0.000 0.107 0.678 Er
0.500 0.393 0.322 Er
0.000 0.607 0.822 Er
0.500 0.893 0.178 Er
0.000 0.893 0.322 Er
0.500 0.607 0.678 Er
0.000 0.393 0.178 Er
0.500 0.107 0.822 Er
0.000 0.000 0.500 Tm
0.500 0.500 0.500 Tm
0.000 0.500 0.000 Tm
0.500 0.000 0.000 Tm
```

Output
density of states at the Fermi level: 28.30 states/eV per cell
density: 8.20 Mg/m³



Which of them is most stable, and which least? Most stable: b); least stable: a).



a) # NdEr5Tm4

NdEr5Tm4 after structural relaxation (PBE-GGA, Alexandria).

Structure (POSCAR):
```
NdEr5Tm4
1.0
3.148 -0.145 -1.575
-0.539 9.700 -1.949
-0.670 -0.455 10.521
Nd Er Tm
1 5 4
Direct
0.500 0.000 0.000 Nd
0.099 0.599 0.399 Er
0.102 0.101 0.401 Er
0.898 0.899 0.599 Er
0.500 0.500 0.000 Er
0.901 0.401 0.601 Er
0.303 0.798 0.202 Tm
0.698 0.697 0.798 Tm
0.697 0.202 0.798 Tm
0.302 0.303 0.202 Tm
```

Output
density of states at the Fermi level: 13.76 states/eV per cell
density: 8.96 Mg/m³



b) # NdEr5Tm4

NdEr5Tm4 after structural relaxation (PBE-GGA, Alexandria).

Structure (POSCAR):
```
NdEr5Tm4
1.0
6.274 0.000 0.000
3.137 7.129 0.000
3.137 0.000 7.129
Nd Er Tm
1 5 4
Direct
0.223 0.000 0.000 Nd
0.806 0.378 0.908 Er
0.184 0.908 0.622 Er
0.714 0.092 0.378 Er
0.092 0.622 0.092 Er
0.679 0.000 0.000 Er
0.401 0.401 0.702 Tm
0.802 0.702 0.599 Tm
0.103 0.298 0.401 Tm
0.504 0.599 0.298 Tm
```

Output
density of states at the Fermi level: 13.18 states/eV per cell
density: 8.63 Mg/m³



Which of them is most stable, and which least? Most stable: a); least stable: b).



a) # Nd12Er6Tm

Nd12Er6Tm after structural relaxation (PBE-GGA, Alexandria).

Structure (POSCAR):
```
Nd12Er6Tm
1.0
8.594 0.697 0.835
-0.614 8.601 0.835
-0.614 -0.715 8.612
Nd Er Tm
12 6 1
Direct
0.782 0.536 0.433 Nd
0.433 0.782 0.536 Nd
0.536 0.433 0.782 Nd
0.218 0.464 0.567 Nd
0.567 0.218 0.464 Nd
0.464 0.567 0.218 Nd
0.018 0.193 0.363 Nd
0.807 0.637 0.982 Nd
0.637 0.982 0.807 Nd
0.982 0.807 0.637 Nd
0.193 0.363 0.018 Nd
0.363 0.018 0.193 Nd
0.741 0.900 0.295 Er
0.705 0.259 0.100 Er
0.100 0.705 0.259 Er
0.259 0.100 0.705 Er
0.295 0.741 0.900 Er
0.900 0.295 0.741 Er
0.000 0.000 0.000 Tm
```

Output
density of states at the Fermi level: 32.68 states/eV per cell
density: 7.42 Mg/m³



b) # Nd12Er6Tm

Nd12Er6Tm after structural relaxation (PBE-GGA, Alexandria).

Structure (POSCAR):
```
Nd12Er6Tm
1.0
9.031 -0.610 -3.076
-4.111 8.064 -3.076
-0.402 -0.610 9.532
Nd Er Tm
12 6 1
Direct
0.372 0.057 0.580 Nd
0.057 0.580 0.372 Nd
0.580 0.372 0.057 Nd
0.628 0.943 0.420 Nd
0.943 0.420 0.628 Nd
0.420 0.628 0.943 Nd
0.104 0.157 0.738 Nd
0.262 0.896 0.843 Nd
0.843 0.262 0.896 Nd
0.896 0.843 0.262 Nd
0.738 0.104 0.157 Nd
0.157 0.738 0.104 Nd
0.214 0.317 0.471 Er
0.683 0.529 0.786 Er
0.529 0.786 0.683 Er
0.786 0.683 0.529 Er
0.317 0.471 0.214 Er
0.471 0.214 0.317 Er
0.000 0.000 0.000 Tm
```

Output
density of states at the Fermi level: 26.34 states/eV per cell
density: 7.59 Mg/m³



Which of them is most stable, and which least? Most stable: b); least stable: a).



a) # Nd4ErTm4

Nd4ErTm4 after structural relaxation (PBE-GGA, Alexandria).

Structure (POSCAR):
```
Nd4ErTm4
1.0
5.036 0.000 0.000
2.518 7.597 0.000
2.518 0.000 7.597
Nd Er Tm
4 1 4
Direct
0.667 0.667 0.000 Nd
0.333 0.333 0.000 Nd
0.666 0.000 0.667 Nd
0.334 0.000 0.333 Nd
0.000 0.000 0.000 Er
0.664 0.336 0.336 Tm
0.336 0.664 0.664 Tm
0.000 0.664 0.336 Tm
0.000 0.336 0.664 Tm
```

Output
density of states at the Fermi level: 13.20 states/eV per cell
density: 8.11 Mg/m³



b) # Nd4ErTm4

Nd4ErTm4 after structural relaxation (PBE-GGA, Alexandria).

Structure (POSCAR):
```
Nd4ErTm4
1.0
-3.494 -2.912 4.071
-1.891 -5.399 2.140
6.673 -4.063 14.067
Nd Er Tm
4 1 4
Direct
0.316 0.154 0.326 Nd
0.684 0.846 0.674 Nd
0.896 0.282 0.890 Nd
0.104 0.718 0.110 Nd
0.500 0.000 0.000 Er
0.710 0.431 0.218 Tm
0.928 0.867 0.435 Tm
0.290 0.569 0.782 Tm
0.072 0.133 0.565 Tm
```

Output
density of states at the Fermi level: 12.82 states/eV per cell
density: 8.02 Mg/m³



Which of them is most stable, and which least? Most stable: a); least stable: b).



a) # Nd2ErTm7

Nd2ErTm7 after structural relaxation (PBE-GGA, Alexandria).

Structure (POSCAR):
```
Nd2ErTm7
1.0
-2.794 -5.397 -0.607
5.413 -4.408 -6.194
-0.286 2.589 8.962
Nd Er Tm
2 1 7
Direct
0.501 0.900 0.601 Nd
0.499 0.100 0.399 Nd
0.000 0.000 0.000 Er
0.999 0.598 0.399 Tm
0.001 0.402 0.601 Tm
0.500 0.700 0.799 Tm
0.500 0.300 0.201 Tm
0.998 0.799 0.198 Tm
0.002 0.201 0.802 Tm
0.500 0.500 0.000 Tm
```

Output
density of states at the Fermi level: 13.90 states/eV per cell
density: 8.77 Mg/m³



b) # Nd2ErTm7

Nd2ErTm7 after structural relaxation (PBE-GGA, Alexandria).

Structure (POSCAR):
```
Nd2ErTm7
1.0
-2.594 -0.278 -2.313
-6.113 -10.536 8.123
2.257 13.844 -4.197
Nd Er Tm
2 1 7
Direct
0.500 0.708 0.292 Nd
0.500 0.292 0.708 Nd
0.000 0.000 0.000 Er
0.000 0.817 0.183 Tm
0.000 0.183 0.817 Tm
0.500 0.148 0.343 Tm
0.500 0.852 0.657 Tm
0.500 0.343 0.148 Tm
0.500 0.657 0.852 Tm
0.500 0.500 0.500 Tm
```

Output
density of states at the Fermi level: 14.15 states/eV per cell
density: 8.51 Mg/m³



Which of them is most stable, and which least? Most stable: a); least stable: b).



a) # Nd3Er2Tm2

Nd3Er2Tm2 after structural relaxation (PBE-GGA, Alexandria).

Structure (POSCAR):
```
Nd3Er2Tm2
1.0
3.383 -0.989 0.086
-1.728 12.920 0.791
0.116 0.872 5.470
Nd Er Tm
3 2 2
Direct
0.000 0.000 0.000 Nd
0.668 0.445 0.277 Nd
0.332 0.555 0.723 Nd
0.737 0.157 0.422 Er
0.263 0.843 0.578 Er
0.428 0.284 0.858 Tm
0.572 0.716 0.142 Tm
```

Output
density of states at the Fermi level: 11.39 states/eV per cell
density: 8.08 Mg/m³



b) # Nd3Er2Tm2

Nd3Er2Tm2 after structural relaxation (PBE-GGA, Alexandria).

Structure (POSCAR):
```
Nd3Er2Tm2
1.0
3.504 0.000 0.000
0.000 8.479 -0.738
-1.752 -3.508 8.025
Nd Er Tm
3 2 2
Direct
0.000 0.500 0.000 Nd
0.214 0.797 0.427 Nd
0.786 0.203 0.573 Nd
0.564 0.910 0.129 Er
0.436 0.090 0.871 Er
0.857 0.679 0.715 Tm
0.143 0.321 0.285 Tm
```

Output
density of states at the Fermi level: 11.10 states/eV per cell
density: 8.00 Mg/m³



Which of them is most stable, and which least? Most stable: a); least stable: b).



a) # NdEr6Tm2

NdEr6Tm2 after structural relaxation (PBE-GGA, Alexandria).

Structure (POSCAR):
```
NdEr6Tm2
1.0
6.868 0.000 0.000
3.434 5.948 0.000
3.434 1.983 7.614
Nd Er Tm
1 6 2
Direct
0.335 0.335 0.996 Nd
0.772 0.281 0.665 Er
0.281 0.772 0.665 Er
0.281 0.281 0.665 Er
0.054 0.561 0.331 Er
0.054 0.054 0.331 Er
0.561 0.054 0.331 Er
0.747 0.747 0.759 Tm
0.581 0.581 0.258 Tm
```

Output
density of states at the Fermi level: 15.45 states/eV per cell
density: 7.93 Mg/m³



b) # NdEr6Tm2

NdEr6Tm2 after structural relaxation (PBE-GGA, Alexandria).

Structure (POSCAR):
```
NdEr6Tm2
1.0
-0.824 -3.283 1.084
-2.873 -3.650 -7.407
11.270 -0.508 7.033
Nd Er Tm
1 6 2
Direct
0.000 0.000 0.000 Nd
0.702 0.596 0.260 Er
0.298 0.404 0.740 Er
0.668 0.664 0.664 Er
0.964 0.072 0.407 Er
0.036 0.928 0.593 Er
0.332 0.336 0.336 Er
0.631 0.738 0.074 Tm
0.369 0.262 0.926 Tm
```

Output
density of states at the Fermi level: 12.85 states/eV per cell
density: 8.87 Mg/m³



Which of them is most stable, and which least? Most stable: b); least stable: a).



a) # Nd6ErTm2

Nd6ErTm2 after structural relaxation (PBE-GGA, Alexandria).

Structure (POSCAR):
```
Nd6ErTm2
1.0
6.241 -0.148 -0.143
1.147 9.942 1.383
1.147 1.705 9.892
Nd Er Tm
12 2 4
Direct
0.486 0.689 0.408 Nd
0.014 0.592 0.311 Nd
0.514 0.311 0.592 Nd
0.986 0.408 0.689 Nd
0.653 0.074 0.356 Nd
0.847 0.644 0.926 Nd
0.347 0.926 0.644 Nd
0.153 0.356 0.074 Nd
0.320 0.740 0.022 Nd
0.180 0.978 0.260 Nd
0.680 0.260 0.978 Nd
0.820 0.022 0.740 Nd
0.250 0.100 0.900 Er
0.750 0.900 0.100 Er
0.416 0.566 0.767 Tm
0.084 0.233 0.434 Tm
0.584 0.434 0.233 Tm
0.916 0.767 0.566 Tm
```

Output
density of states at the Fermi level: 24.72 states/eV per cell
density: 7.56 Mg/m³



b) # Nd6ErTm2

Nd6ErTm2 after structural relaxation (PBE-GGA, Alexandria).

Structure (POSCAR):
```
Nd6ErTm2
1.0
3.662 0.000 0.001
0.000 9.102 4.141
-0.001 1.657 9.861
Nd Er Tm
6 1 2
Direct
0.000 0.510 0.159 Nd
0.000 0.841 0.490 Nd
0.000 0.490 0.841 Nd
0.500 0.685 0.315 Nd
0.000 0.159 0.510 Nd
0.500 0.315 0.685 Nd
0.000 0.000 0.000 Er
0.500 0.176 0.176 Tm
0.500 0.824 0.824 Tm
```

Output
density of states at the Fermi level: 12.10 states/eV per cell
density: 7.50 Mg/m³



Which of them is most stable, and which least? Most stable: a); least stable: b).



a) # Nd3Er7Tm2

Nd3Er7Tm2 after structural relaxation (PBE-GGA, Alexandria).

Structure (POSCAR):
```
Nd3Er7Tm2
1.0
3.546 0.000 0.000
0.000 5.783 0.285
0.000 -1.897 18.596
Nd Er Tm
3 7 2
Direct
0.500 0.500 0.000 Nd
0.000 0.222 0.366 Nd
0.000 0.778 0.634 Nd
0.500 0.743 0.462 Er
0.500 0.257 0.538 Er
0.000 0.691 0.144 Er
0.000 0.000 0.000 Er
0.000 0.309 0.856 Er
0.500 0.807 0.824 Er
0.500 0.193 0.176 Er
0.500 0.710 0.292 Tm
0.500 0.290 0.708 Tm
```

Output
density of states at the Fermi level: 14.86 states/eV per cell
density: 8.41 Mg/m³



b) # Nd3Er7Tm2

Nd3Er7Tm2 after structural relaxation (PBE-GGA, Alexandria).

Structure (POSCAR):
```
Nd3Er7Tm2
1.0
6.303 0.000 1.386
2.999 5.543 1.386
0.698 0.416 11.852
Nd Er Tm
3 7 2
Direct
0.000 0.000 0.000 Nd
0.156 0.156 0.531 Nd
0.844 0.844 0.469 Nd
0.500 0.500 0.500 Er
0.083 0.584 0.750 Er
0.584 0.584 0.750 Er
0.584 0.083 0.750 Er
0.917 0.416 0.250 Er
0.416 0.917 0.250 Er
0.416 0.416 0.250 Er
0.333 0.333 0.000 Tm
0.667 0.667 0.000 Tm
```

Output
density of states at the Fermi level: 20.45 states/eV per cell
density: 7.92 Mg/m³



Which of them is most stable, and which least? Most stable: a); least stable: b).



a) # Nd3Er3Tm

Nd3Er3Tm after structural relaxation (PBE-GGA, Alexandria).

Structure (POSCAR):
```
Nd3Er3Tm
1.0
5.741 0.000 0.000
0.000 9.597 -0.012
0.000 -4.789 8.318
Nd Er Tm
6 6 2
Direct
0.750 0.756 0.806 Nd
0.750 0.049 0.244 Nd
0.750 0.194 0.951 Nd
0.250 0.244 0.194 Nd
0.250 0.951 0.756 Nd
0.250 0.806 0.049 Nd
0.250 0.521 0.616 Er
0.250 0.095 0.479 Er
0.250 0.384 0.905 Er
0.750 0.479 0.384 Er
0.750 0.905 0.521 Er
0.750 0.616 0.095 Er
0.750 0.333 0.667 Tm
0.250 0.667 0.333 Tm
```

Output
density of states at the Fermi level: 24.00 states/eV per cell
density: 8.00 Mg/m³



b) # Nd3Er3Tm

Nd3Er3Tm after structural relaxation (PBE-GGA, Alexandria).

Structure (POSCAR):
```
Nd3Er3Tm
1.0
-2.011 2.651 5.231
-2.305 -3.505 4.564
11.686 -1.527 8.940
Nd Er Tm
6 6 2
Direct
0.200 0.869 0.391 Nd
0.539 0.200 0.391 Nd
0.869 0.539 0.391 Nd
0.131 0.461 0.609 Nd
0.461 0.800 0.609 Nd
0.800 0.131 0.609 Nd
0.936 0.269 0.192 Er
0.603 0.936 0.192 Er
0.269 0.603 0.192 Er
0.731 0.397 0.808 Er
0.397 0.064 0.808 Er
0.064 0.731 0.808 Er
0.667 0.667 0.000 Tm
0.333 0.333 0.000 Tm
```

Output
density of states at the Fermi level: 21.80 states/eV per cell
density: 7.67 Mg/m³



Which of them is most stable, and which least? Most stable: a); least stable: b).